DFT (PBE+U) results for Sr3FeO after structural relaxation.

Lattice parameters (Å, degrees): 5.2053 5.2053 5.2053 90.00 90.00 90.00
Closest atoms and distances in Å follow each position.
Space group Pm-3m (No. 221)
Inequivalent atoms, fractional coordinates:
Sr1 0.0000 0.0000 0.5000 [3 per cell]  2 O 2.60
Fe1 0.5000 0.5000 0.5000 [1 per cell]  12 Sr 3.68
O1 0.0000 0.0000 0.0000 [1 per cell]  6 Sr 2.60

Calculated values
* relative energy among the computed polymorphs: 0.000 eV/atom
* DOS at the Fermi energy: 11.1 states/eV per cell